1.
The following is a PBE calculation of a relaxed structure of Sm5Er12Tm2, from the Alexandria database.

It has space group P-1 (No. 2), with a = 6.1168 Å, b = 9.9417 Å, c = 10.7999 Å, α = 67.14°, β = 84.82° and γ = 89.00°. The inequivalent atoms are Sm at (0.0000, 0.0000, 0.0000), Sm at (0.0966, 0.9856, 0.3401), Sm at (0.4240, 0.5080, 0.1659), Er at (0.0671, 0.6766, 0.6655), Er at (0.0945, 0.3073, 0.7392), Er at (0.1165, 0.3271, 0.0310), Er at (0.3887, 0.8334, 0.8279), Er at (0.4110, 0.1763, 0.5061), Er at (0.4547, 0.8519, 0.1512) and Tm at (0.2716, 0.5517, 0.4457).

As for the energy relative to the elements: 121 meV per atom. The spin magnetization is 0.00 Bohr magnetons per cell.

=====

2.
The following is a PBE calculation of a relaxed structure of Sm12Er2Tm5, from the Alexandria database.

It has space group C2/m (No. 12), with a = 22.0751 Å, b = 7.0375 Å, c = 8.6608 Å, α = 90.00°, β = 109.97° and γ = 90.00°. The inequivalent atoms are Sm at (0.0481, 0.0000, 0.1936), Sm at (0.1065, 0.2440, 0.8848), Sm at (0.1442, 0.5000, 0.5656), Sm at (0.2004, 0.2466, 0.2939), Er at (0.0000, 0.2429, 0.5000), Tm at (0.0000, 0.5000, 0.0000), Tm at (0.1503, 0.0000, 0.5959) and Tm at (0.2493, 0.5000, 0.9932).

As for the energy relative to the elements: 141 meV per atom. The calculation puts the offset from the most stable computed form at 0.0189 eV per atom. The spin magnetization is 0.00 Bohr magnetons per cell.

=====

3.
The following is a PBE calculation of a relaxed structure of SmEr3Tm5, from the Alexandria database.

It has space group C2/c (No. 15), with a = 16.0167 Å, b = 8.7682 Å, c = 10.9971 Å, α = 90.00°, β = 132.64° and γ = 90.00°. The inequivalent atoms are Sm at (0.0000, 0.2491, 0.2500), Er at (0.0000, 0.5000, 0.0000), Er at (0.2174, 0.4668, 0.9658), Tm at (0.0000, 0.1774, 0.7500), Tm at (0.0954, 0.1197, 0.1105) and Tm at (0.1835, 0.2120, 0.6709).

As for the energy relative to the elements: 235 meV per atom. The calculation puts the offset from the most stable computed form at 0.0000 eV per atom. The spin magnetization is 0.00 Bohr magnetons per cell.

=====

4.
The following is a PBE calculation of a relaxed structure of Sm4ErTm10, from the Alexandria database.

It has space group I4/mmm (No. 139), with a = 11.1477 Å, b = 11.1477 Å, c = 7.8489 Å, α = 90.00°, β = 90.00° and γ = 90.00°. The inequivalent atoms are Sm at (0.2284, 0.2284, 0.0000), Er at (0.0000, 0.0000, 0.0000), Tm at (0.0000, 0.2084, 0.2935) and Tm at (0.0000, 0.5000, 0.2500).

As for the energy relative to the elements: 279 meV per atom. The spin magnetization is 0.00 Bohr magnetons per cell.

=====

Number 1: energy -4.4733 eV per atom. Number 2: energy -4.4961 eV per atom. Number 3: energy -4.2940 eV per atom. Number 4: energy -4.2650 eV per atom.